DFT (GGA-PBE) results for an optimized crystal structure of TbCeYMg.

The energy of formation from the pure elements is 0.09 eV/atom. For the final energy, the calculation gives -4.561 eV/atom. As for the space-group type: F-43m.

Unit cell a=5.5219 b=5.5219 c=5.5219 alpha=60.00 beta=60.00 gamma=60.00
Element x y z (fractional)
Tb  0.5000  0.5000  0.5000
Ce  0.2500  0.2500  0.2500
Mg  0.0000  0.0000  0.0000
Y  0.7500  0.7500  0.7500



DFT (GGA-PBE) results for an optimized crystal structure of TbMg2In.

The energy of formation from the pure elements is -0.11 eV/atom. For the final energy, the calculation gives -2.750 eV/atom. As for the space-group type: P4/mmm. Its energy above the most stable polymorph in this dataset is 0.69 eV per formula unit.

Unit cell a=3.5222 b=3.5222 c=8.1847 alpha=90.00 beta=90.00 gamma=90.00
Element x y z (fractional)
Mg  0.0000  0.0000  0.2235
Tb  0.5000  0.5000  0.5000
Mg  0.0000  0.0000  0.7765
In  0.5000  0.5000  0.0000



DFT (GGA-PBE) results for an optimized crystal structure of La2CeGe3Rh4.

The energy of formation from the pure elements is -0.90 eV/atom. For the final energy, the calculation gives -6.800 eV/atom. As for the space-group type: P-4m2.

Unit cell a=4.3046 b=4.3046 c=10.9450 alpha=90.00 beta=90.00 gamma=90.00
Element x y z (fractional)
Rh  0.0000  0.0000  0.0000
Rh  0.5000  0.0000  0.6496
Ge  0.5000  0.0000  0.8782
Rh  0.0000  0.5000  0.3504
Rh  0.5000  0.5000  0.0000
Ge  0.0000  0.5000  0.1218
Ge  0.0000  0.0000  0.5000
La  0.5000  0.0000  0.2276
La  0.0000  0.5000  0.7724
Ce  0.5000  0.5000  0.5000



DFT (GGA-PBE) results for an optimized crystal structure of K2LaNdTe4.

For the final energy, the calculation gives -4.515 eV/atom. As for the space-group type: P2/m. As for the formation energy from raw total energies: -1.458 eV/atom.

Unit cell a=4.6681 b=8.0846 c=8.6696 alpha=108.08 beta=90.00 gamma=90.00
Element x y z (fractional)
Nd  0.5000  0.5000  0.0000
Te  0.5000  0.2419  0.2160
K  0.0000  0.5000  0.5000
K  0.5000  0.0000  0.5000
Te  0.0000  0.2652  0.7852
La  0.0000  0.0000  0.0000
Te  0.5000  0.7581  0.7840
Te  0.0000  0.7348  0.2148